No. 1
Crystalline TaMn2Si at its relaxed geometry. Source: Alexandria via LeMat-Bulk, functional PBE.

```
TaMn2Si
1.0
2.785 0.000 0.000
-1.393 2.412 0.000
0.000 0.000 25.107
Ta Mn Si
3 6 3
direct
0.000 0.000 0.000
0.333 0.667 0.667
0.667 0.333 0.333
0.000 0.000 0.241
0.000 0.000 0.499
0.333 0.667 0.166
0.333 0.667 0.908
0.667 0.333 0.574
0.667 0.333 0.833
0.000 0.000 0.757
0.333 0.667 0.424
0.667 0.333 0.091
```

## Properties
Crystal system: trigonal

=====

No. 2
Crystalline Ta4MnSi at its relaxed geometry. Source: Alexandria via LeMat-Bulk, functional PBE.

```
Ta4MnSi
1.0
0.000 3.809 3.809
3.809 0.000 3.809
3.809 3.809 0.000
Ta Mn Si
4 1 1
direct
0.125 0.125 0.125
0.125 0.125 0.624
0.125 0.624 0.125
0.624 0.125 0.125
0.750 0.750 0.750
0.500 0.500 0.500
```

## Properties
Crystal system: cubic

=====

No. 3
Crystalline Ta2MnSi at its relaxed geometry. Source: Alexandria via LeMat-Bulk, functional PBE.

```
Ta2MnSi
1.0
6.943 0.000 0.000
0.000 6.943 0.000
0.000 0.000 5.494
Ta Mn Si
8 4 4
direct
0.246 0.250 0.125
0.250 0.746 0.375
0.250 0.754 0.875
0.254 0.250 0.625
0.746 0.750 0.625
0.750 0.246 0.875
0.750 0.254 0.375
0.754 0.750 0.125
0.000 0.000 0.000
0.000 0.500 0.250
0.500 0.000 0.750
0.500 0.500 0.500
0.000 0.000 0.500
0.000 0.500 0.750
0.500 0.000 0.250
0.500 0.500 0.000
```

## Properties
Energy relative to the lowest polymorph listed for this composition: 676 meV per atom
Crystal system: tetragonal

=====

No. 4
Crystalline Ta2MnSi at its relaxed geometry. Source: Alexandria via LeMat-Bulk, functional PBE.

```
Ta2MnSi
1.0
3.680 0.000 0.000
0.000 3.902 0.000
0.000 0.000 4.245
Ta Mn Si
2 1 1
direct
0.000 0.000 0.000
0.500 0.000 0.500
0.000 0.500 0.500
0.500 0.500 0.000
```

## Properties
Energy relative to the lowest polymorph listed for this composition: 123 meV per atom
Crystal system: orthorhombic

=====

No. 5
Crystalline TaMn2Si at its relaxed geometry. Source: Alexandria via LeMat-Bulk, functional PBE.

```
TaMn2Si
1.0
4.086 0.000 0.000
0.000 4.086 0.000
0.000 0.000 3.056
Ta Mn Si
1 2 1
direct
0.000 0.000 0.000
0.000 0.500 0.500
0.500 0.000 0.500
0.500 0.500 0.000
```

## Properties
Crystal system: tetragonal

=====

No. 6
Crystalline Ta2MnSi at its relaxed geometry. Source: Alexandria via LeMat-Bulk, functional PBE.

```
Ta2MnSi
1.0
6.237 0.000 0.000
0.000 6.237 0.000
0.000 0.000 6.237
Ta Mn Si
8 4 4
direct
0.000 0.000 0.000
0.000 0.500 0.500
0.250 0.250 0.250
0.250 0.750 0.750
0.500 0.000 0.500
0.500 0.500 0.000
0.750 0.250 0.750
0.750 0.750 0.250
0.000 0.000 0.500
0.000 0.500 0.000
0.500 0.000 0.000
0.500 0.500 0.500
0.250 0.250 0.750
0.250 0.750 0.250
0.750 0.250 0.250
0.750 0.750 0.750
```

## Properties
Energy relative to the lowest polymorph listed for this composition: 357 meV per atom
Crystal system: cubic

=====

No. 7
Crystalline TaMnSi at its relaxed geometry. Source: Alexandria via LeMat-Bulk, functional PBE.

```
TaMnSi
1.0
5.952 0.000 0.000
0.000 5.952 0.000
0.000 0.000 5.952
Ta Mn Si
4 4 4
direct
0.000 0.000 0.000
0.000 0.500 0.500
0.500 0.000 0.500
0.500 0.500 0.000
0.250 0.250 0.250
0.250 0.750 0.750
0.750 0.250 0.750
0.750 0.750 0.250
0.250 0.250 0.750
0.250 0.750 0.250
0.750 0.250 0.250
0.750 0.750 0.750
```

## Properties
Crystal system: cubic

=====

No. 8
Crystalline TaMn2Si2 at its relaxed geometry. Source: Alexandria via LeMat-Bulk, functional PBE.

```
TaMn2Si2
1.0
6.911 0.000 0.000
0.000 6.911 0.000
0.000 0.000 2.737
Ta Mn Si
2 4 4
direct
0.000 0.000 0.000
0.500 0.500 0.000
0.149 0.351 0.500
0.351 0.851 0.500
0.649 0.149 0.500
0.851 0.649 0.500
0.142 0.642 0.000
0.358 0.142 0.000
0.642 0.858 0.000
0.858 0.358 0.000
```

## Properties
Crystal system: tetragonal

=====

No. 9
Crystalline Ta2MnSi at its relaxed geometry. Source: Alexandria via LeMat-Bulk, functional PBE.

```
Ta2MnSi
1.0
3.062 0.000 0.000
0.000 4.189 0.000
0.000 0.000 9.383
Ta Mn Si
4 2 2
direct
0.000 0.000 0.000
0.000 0.500 0.235
0.500 0.000 0.735
0.500 0.500 0.500
0.000 0.500 0.738
0.500 0.000 0.238
0.000 0.000 0.441
0.500 0.500 0.941
```

## Properties
Energy relative to the lowest polymorph listed for this composition: 106 meV per atom
Crystal system: orthorhombic

=====

No. 10
Crystalline TaMn2Si at its relaxed geometry. Source: Alexandria via LeMat-Bulk, functional PBE.

```
TaMn2Si
1.0
3.615 0.000 0.000
0.000 4.189 0.000
0.000 0.000 7.016
Ta Mn Si
2 4 2
direct
0.000 0.000 0.000
0.500 0.500 0.000
0.000 0.500 0.285
0.000 0.500 0.715
0.500 0.000 0.285
0.500 0.000 0.715
0.000 0.000 0.500
0.500 0.500 0.500
```

## Properties
Crystal system: orthorhombic

=====

No. 11
Crystalline TaMn2Si at its relaxed geometry. Source: Alexandria via LeMat-Bulk, functional PBE.

```
TaMn2Si
1.0
6.775 0.000 0.000
0.000 6.775 0.000
0.000 0.000 5.166
Ta Mn Si
4 8 4
direct
0.000 0.000 0.000
0.000 0.500 0.250
0.500 0.000 0.750
0.500 0.500 0.500
0.218 0.250 0.625
0.250 0.718 0.875
0.250 0.782 0.375
0.282 0.250 0.125
0.718 0.750 0.125
0.750 0.218 0.375
0.750 0.282 0.875
0.782 0.750 0.625
0.000 0.000 0.500
0.000 0.500 0.750
0.500 0.000 0.250
0.500 0.500 0.000
```

## Properties
Crystal system: tetragonal

=====

No. 12
Crystalline Ta2MnSi at its relaxed geometry. Source: Alexandria via LeMat-Bulk, functional PBE.

```
Ta2MnSi
1.0
2.971 0.000 0.000
-1.486 2.573 0.000
0.000 0.000 24.675
Ta Mn Si
6 3 3
direct
0.000 0.000 0.247
0.000 0.000 0.753
0.333 0.667 0.420
0.333 0.667 0.913
0.667 0.333 0.087
0.667 0.333 0.580
0.000 0.000 0.500
0.333 0.667 0.167
0.667 0.333 0.833
0.000 0.000 0.000
0.333 0.667 0.667
0.667 0.333 0.333
```

## Properties
Energy relative to the lowest polymorph listed for this composition: 460 meV per atom
Crystal system: trigonal

=====

Number 1: energy -8.779 eV/atom, volume 14.06 Å³ per atom. Number 2: energy -9.699 eV/atom, volume 18.42 Å³ per atom. Number 3: energy -9.208 eV/atom, volume 16.55 Å³ per atom. Number 4: energy -9.762 eV/atom, volume 15.24 Å³ per atom. Number 5: energy -9.242 eV/atom, volume 12.75 Å³ per atom. Number 6: energy -9.527 eV/atom, volume 15.16 Å³ per atom. Number 7: energy -8.297 eV/atom, volume 17.57 Å³ per atom. Number 8: energy -8.529 eV/atom, volume 13.07 Å³ per atom. Number 9: energy -9.779 eV/atom, volume 15.05 Å³ per atom. Number 10: energy -9.037 eV/atom, volume 13.28 Å³ per atom. Number 11: energy -8.565 eV/atom, volume 14.82 Å³ per atom. Number 12: energy -9.424 eV/atom, volume 15.72 Å³ per atom.